[1]
The following is a DFT calculation (GGA-PBE) of an optimized crystal structure of NaLi2Cu.

Cell: 10.0156 10.0156 10.0156 Å, 156.17 156.17 33.95°
With the nearest neighbours (Å) after each atom.
Sites, in units of the cell vectors:
Na (0.0000, 0.0000, 0.0000)  4 Li 2.87, 4 Cu 2.92
Na (0.7500, 0.2500, 0.5000)  4 Li 2.87, 4 Cu 2.92
Li (0.1653, 0.6250, 0.0403)  2 Li 2.70, 2 Cu 2.75, 2 Na 2.87
Li (0.3750, 0.4153, 0.5403)  2 Li 2.70, 2 Cu 2.75, 2 Na 2.87
Li (0.5847, 0.1250, 0.9597)  2 Li 2.70, 2 Cu 2.75, 2 Na 2.87
Li (0.8750, 0.8347, 0.4597)  2 Li 2.70, 2 Cu 2.75, 2 Na 2.87
Cu (0.2500, 0.7500, 0.5000)  4 Li 2.75, 4 Na 2.92
Cu (0.5000, 0.5000, 0.0000)  4 Li 2.75, 4 Na 2.92

Values from the calculation:
- ΔE to the lowest computed polymorph (meV/atom) = 193
- Fermi-level density of states (states/eV/f.u.) = 1.4
- space group = No. 122
- energy of formation (kJ/mol of atoms) = 24.8

***

[2]
The following is a DFT calculation (GGA-PBE) of an optimized crystal structure of H3Pt2.

Cell: 5.9597 5.9597 5.9597 Å, 43.64 43.64 43.64°
With the nearest neighbours (Å) after each atom.
Sites, in units of the cell vectors:
H (0.0488, 0.7500, 0.4512)  2 Pt 1.74
H (0.2500, 0.5488, 0.9512)  2 Pt 1.74
H (0.4512, 0.0488, 0.7500)  2 Pt 1.74
H (0.5488, 0.9512, 0.2500)  2 Pt 1.74
H (0.7500, 0.4512, 0.0488)  2 Pt 1.74
H (0.9512, 0.2500, 0.5488)  2 Pt 1.74
Pt (0.1310, 0.1310, 0.1310)  3 H 1.74
Pt (0.3690, 0.3690, 0.3690)  3 H 1.74
Pt (0.6310, 0.6310, 0.6310)  3 H 1.74
Pt (0.8690, 0.8690, 0.8690)  3 H 1.74

Values from the calculation:
- ΔE to the lowest computed polymorph (meV/atom) = 13
- Fermi-level density of states (states/eV/f.u.) = 1.0
- space group = No. 167

***

[3]
The following is a DFT calculation (GGA-PBE) of an optimized crystal structure of AsPdPt.

Cell: 4.3179 4.3179 3.0073 Å, 90.00 90.00 120.00°
With the nearest neighbours (Å) after each atom.
Sites, in units of the cell vectors:
As (0.0000, 0.0000, 0.0000)  3 Pt 2.49
Pd (0.3333, 0.6667, 0.4942)  6 As 2.90-2.92, 6 Pt 2.91, 2 Pd 3.01
Pt (0.6667, 0.3333, 0.9944)  3 As 2.49

Values from the calculation:
- Fermi-level density of states (states/eV/f.u.) = 1.3
- space group = No. 156
- energy of formation (kJ/mol of atoms) = -22.6

***

[4]
The following is a DFT calculation (GGA-PBE) of an optimized crystal structure of Sm2Dy2Sb3.

Cell: 4.3612 7.4487 7.4970 Å, 81.58 89.99 73.02°
With the nearest neighbours (Å) after each atom.
Sites, in units of the cell vectors:
Sm (0.1213, 0.2589, 0.3835)  4 Sb 3.09-3.12
Sm (0.8787, 0.7411, 0.6165)  4 Sb 3.09-3.12
Dy (0.3752, 0.7498, 0.1253)  5 Sb 3.05-3.08
Dy (0.6248, 0.2502, 0.8747)  5 Sb 3.05-3.08
Sb (0.0000, 0.5000, 0.0000)  4 Dy 3.05, 2 Sm 3.12
Sb (0.2531, 0.9924, 0.7515)  3 Dy 3.06-3.08, 3 Sm 3.09-3.10
Sb (0.7469, 0.0076, 0.2485)  3 Dy 3.06-3.08, 3 Sm 3.09-3.10

Values from the calculation:
- ΔE to the lowest computed polymorph (meV/atom) = 142
- Fermi-level density of states (states/eV/f.u.) = 2.8
- space group = No. 2

***

[5]
The following is a DFT calculation (GGA-PBE) of an optimized crystal structure of Li2ThMg2Sn2.

Cell: 8.8388 8.8388 8.8388 Å, 30.66 30.66 30.66°
With the nearest neighbours (Å) after each atom.
Sites, in units of the cell vectors:
Li (0.0736, 0.0736, 0.0736)  3 Sn 2.73, 3 Mg 2.91
Li (0.9264, 0.9264, 0.9264)  3 Sn 2.73, 3 Mg 2.91
Th (0.5000, 0.5000, 0.5000)  6 Sn 3.31, 2 Mg 3.44, 6 Li 3.58
Mg (0.3639, 0.3639, 0.3639)  3 Li 2.91, 4 Sn 3.06-3.10, 3 Mg 3.11
Mg (0.6361, 0.6361, 0.6361)  3 Li 2.91, 4 Sn 3.06-3.10, 3 Mg 3.11
Sn (0.2427, 0.2427, 0.2427)  3 Li 2.73, 1 Mg 3.06
Sn (0.7573, 0.7573, 0.7573)  3 Li 2.73, 1 Mg 3.06

Values from the calculation:
- Fermi-level density of states (states/eV/f.u.) = 1.6
- space group = No. 166
- energy of formation (kJ/mol of atoms) = -34.9

***

[6]
The following is a DFT calculation (GGA-PBE) of an optimized crystal structure of RbScSi.

Cell: 5.3327 5.3327 6.1526 Å, 90.00 90.00 120.00°
With the nearest neighbours (Å) after each atom.
Sites, in units of the cell vectors:
Rb (0.0000, 0.0000, 0.0000)  2 Rb 3.08, 6 Si 3.44, 6 Sc 3.44
Rb (0.0000, 0.0000, 0.5000)  2 Rb 3.08, 6 Sc 3.44, 6 Si 3.44
Sc (0.3333, 0.6667, 0.2500)  5 Si 3.08, 6 Rb 3.44
Sc (0.6667, 0.3333, 0.7500)  5 Si 3.08, 6 Rb 3.44
Si (0.3333, 0.6667, 0.7500)  5 Sc 3.08, 6 Rb 3.44
Si (0.6667, 0.3333, 0.2500)  5 Sc 3.08, 6 Rb 3.44

Values from the calculation:
- ΔE to the lowest computed polymorph (meV/atom) = 488
- Fermi-level density of states (states/eV/f.u.) = 0.1
- space group = No. 194

***

[7]
The following is a DFT calculation (GGA-PBE) of an optimized crystal structure of ZnB3N.

Cell: 3.5302 3.5302 3.5302 Å, 90.00 90.00 90.00°
With the nearest neighbours (Å) after each atom.
Sites, in units of the cell vectors:
Zn (0.0000, 0.0000, 0.0000)  12 B 2.50
B (0.0000, 0.5000, 0.5000)  2 N 1.77
B (0.5000, 0.0000, 0.5000)  2 N 1.77
B (0.5000, 0.5000, 0.0000)  2 N 1.77
N (0.5000, 0.5000, 0.5000)  6 B 1.77

Values from the calculation:
- ΔE to the lowest computed polymorph (meV/atom) = 0
- Fermi-level density of states (states/eV/f.u.) = 2.0
- space group = No. 221

***

[8]
The following is a DFT calculation (GGA-PBE) of an optimized crystal structure of Tb5CdIn6.

Cell: 8.9413 8.9413 8.9413 Å, 148.73 120.19 69.05°
With the nearest neighbours (Å) after each atom.
Sites, in units of the cell vectors:
Tb (0.0000, 0.0000, 0.0000)  8 In 3.24-3.34, 4 Tb 3.48
Tb (0.1704, 0.6704, 0.5000)  8 In 3.25-3.32, 4 Tb 3.48-3.59
Tb (0.3506, 0.3506, 0.0000)  8 In 3.18-3.44, 2 Cd 3.26
Tb (0.6494, 0.6494, 0.0000)  8 In 3.18-3.44, 2 Cd 3.26
Tb (0.8296, 0.3296, 0.5000)  8 In 3.25-3.32, 4 Tb 3.48-3.59
Cd (0.5000, 0.0000, 0.5000)  4 Tb 3.26, 8 In 3.32-3.38
In (0.0757, 0.8291, 0.2466)  7 Tb 3.25-3.44, 4 In 3.35-3.49, 1 Cd 3.38
In (0.2432, 0.5000, 0.7432)  6 Tb 3.18-3.32, 2 Cd 3.32, 4 In 3.49
In (0.4176, 0.1709, 0.2466)  7 Tb 3.25-3.44, 4 In 3.35-3.49, 1 Cd 3.38
In (0.5824, 0.8291, 0.7534)  7 Tb 3.25-3.44, 4 In 3.35-3.49, 1 Cd 3.38
In (0.7568, 0.5000, 0.2568)  6 Tb 3.18-3.32, 2 Cd 3.32, 4 In 3.49
In (0.9243, 0.1709, 0.7534)  7 Tb 3.25-3.44, 4 In 3.35-3.49, 1 Cd 3.38

Values from the calculation:
- Fermi-level density of states (states/eV/f.u.) = 8.8
- space group = No. 71
- energy of formation (kJ/mol of atoms) = -40.2

***

Number 1: DFT total energy -2.05 eV per atom. Number 2: DFT total energy -4.30 eV per atom. Number 3: DFT total energy -5.53 eV per atom. Number 4: DFT total energy -5.30 eV per atom. Number 5: DFT total energy -3.57 eV per atom. Number 6: DFT total energy -4.01 eV per atom. Number 7: DFT total energy -4.11 eV per atom. Number 8: DFT total energy -3.79 eV per atom.